Entry 1:
Material: CuSeIN2
Method: DFT, PBE-GGA
State: relaxed

Summary:
space group = P4/mmm, No. 123

Unit cell a=3.7707 b=3.7707 c=7.9230 alpha=90.00 beta=90.00 gamma=90.00
Element x y z (fractional)
Cu1 0.5000 0.5000 0.5000
I1 0.0000 0.0000 0.5000
N1 0.5000 0.0000 0.0000
N2 0.0000 0.5000 0.0000
Se1 0.0000 0.0000 0.0000

Entry 2:
Material: K2AlOs
Method: DFT, PBE-GGA
State: relaxed

Summary:
space group = C2/m, No. 12

Unit cell a=4.9695 b=6.5190 c=2.8884 alpha=79.06 beta=85.22 gamma=111.27
Element x y z (fractional)
Os1 0.0000 0.5000 0.5000
Al1 0.5000 0.5000 0.0000
K1 0.0000 0.0000 0.0000
K2 0.5000 0.0000 0.5000

Entry 3:
Material: Tm8FeRu2
Method: DFT, PBE-GGA
State: relaxed

Summary:
space group = C2/m, No. 12

Unit cell a=4.7747 b=6.7313 c=8.8247 alpha=107.30 beta=105.70 gamma=90.00
Element x y z (fractional)
Tm1 0.3351 0.0387 0.6702
Tm2 0.7969 0.6898 0.5938
Tm3 0.4047 0.5521 0.8094
Tm4 0.5953 0.4479 0.1906
Tm5 0.0289 0.7969 0.0578
Tm6 0.2031 0.3102 0.4062
Tm7 0.6649 0.9613 0.3298
Tm8 0.9711 0.2031 0.9422
Ru1 0.1830 0.6962 0.3661
Ru2 0.8170 0.3038 0.6339
Fe1 0.5000 0.0000 0.0000

Number 1: raw total energy -3.71 eV per atom. Number 2: raw total energy -3.29 eV per atom. Number 3: raw total energy -5.91 eV per atom.